No. 1
Below is a geometry-optimized Pm2SiPt2 structure, with properties calculated at the GGA-PBE level.

Cell lengths 7.4888, 7.4888, 7.9067 Å; angles 90.00, 90.00, 90.00 degrees
Fractional positions:
Pt1 0.6330 0.1330 0.7500
Si1 0.0000 0.0000 0.7502
Pm1 0.3245 0.1755 0.0000
Pm2 0.1755 0.6755 0.0000
Si2 0.5000 0.5000 0.2502
Pt2 0.8670 0.6330 0.2500
Pt3 0.6330 0.1330 0.2500
Pm3 0.3245 0.1755 0.5000
Pt4 0.1330 0.3670 0.7500
Pm4 0.1755 0.6755 0.5000
Pt5 0.8670 0.6330 0.7500
Si3 0.5000 0.5000 0.7498
Pt6 0.3670 0.8670 0.7500
Pm5 0.6755 0.8245 0.5000
Pt7 0.3670 0.8670 0.2500
Pm6 0.8245 0.3245 0.5000
Si4 0.0000 0.0000 0.2498
Pm7 0.8245 0.3245 0.0000
Pt8 0.1330 0.3670 0.2500
Pm8 0.6755 0.8245 0.0000

Calculated values
Magnetization (μB per formula unit): 0.000
Energy above the most stable polymorph in this dataset (meV per atom): 175
Formation energy from raw total energies (eV per formula unit): -4.430

No. 2
Below is a geometry-optimized K2ClF5 structure, with properties calculated at the GGA-PBE level.

Cell lengths 5.6738, 5.6738, 6.1212 Å; angles 117.66, 117.66, 90.00 degrees
Fractional positions:
F1 0.2425 0.7842 0.0267
F2 0.7842 0.2425 0.0268
F3 0.2425 0.2425 0.0268
F4 0.7291 0.7292 0.4581
K1 0.7415 0.2413 0.4826
Cl1 0.0118 0.0118 0.0237
F5 0.7841 0.7841 0.0266
K2 0.2413 0.7415 0.4826

Calculated values
Magnetization (μB per formula unit): 0.050
Energy above the most stable polymorph in this dataset (meV per atom): 121
Formation energy from raw total energies (eV per formula unit): -13.165

No. 3
Below is a geometry-optimized NbMo structure, with properties calculated at the GGA-PBE level.

Cell lengths 5.8194, 5.8194, 5.8194 Å; angles 90.00, 90.00, 90.00 degrees
Fractional positions:
Nb1 0.7500 0.7500 0.2500
Nb2 0.7500 0.2500 0.7500
Nb3 0.2500 0.7500 0.7500
Mo1 0.0000 0.5000 0.5000
Mo2 0.5000 0.0000 0.5000
Nb4 0.2500 0.2500 0.2500
Mo3 0.0000 0.0000 0.0000
Mo4 0.5000 0.5000 0.0000

Calculated values
Magnetization (μB per formula unit): 0.000
ΔH_f (0 K) (eV per atom): 2.35

No. 4
Below is a geometry-optimized CsK2LiSb structure, with properties calculated at the GGA-PBE level.

Cell lengths 6.9952, 6.9952, 5.4421 Å; angles 90.00, 90.00, 90.00 degrees
Fractional positions:
Sb1 0.0000 0.0000 0.0000
K1 0.0000 0.5000 0.0000
Cs1 0.5000 0.5000 0.5000
Li1 0.0000 0.0000 0.5000
K2 0.5000 0.0000 0.0000

Calculated values
Magnetization (μB per formula unit): 0.000
Energy above the most stable polymorph in this dataset (meV per atom): 0
Formation energy from raw total energies (eV per formula unit): -1.160

No. 5
Below is a geometry-optimized LiLa4Pr3Se8 structure, with properties calculated at the GGA-PBE level.

Cell lengths 8.5646, 8.5163, 8.5647 Å; angles 120.19, 120.00, 90.00 degrees
Fractional positions:
La1 0.5000 0.0000 0.0000
Se1 0.7563 0.7414 0.9988
La2 0.0000 0.0000 0.5000
Se2 0.2426 0.7414 0.4852
Se3 0.2437 0.2586 0.0012
Se4 0.2426 0.7414 0.9988
Pr1 0.0000 0.5000 0.5000
Se5 0.2504 0.2513 0.5008
Se6 0.7574 0.2586 0.5148
Pr2 0.5000 0.5000 0.0000
Li1 0.0000 0.5000 0.0000
La3 0.0000 0.0000 0.0000
Se7 0.7574 0.2586 0.0012
La4 0.5000 0.0000 0.5000
Se8 0.7496 0.7487 0.4992
Pr3 0.5000 0.5000 0.5000

Calculated values
Magnetization (μB per formula unit): 0.000
Formation energy from raw total energies (eV per formula unit): -29.983

No. 6
Below is a geometry-optimized ErH3Ru structure, with properties calculated at the GGA-PBE level.

Cell lengths 3.6326, 4.7843, 5.9714 Å; angles 89.79, 107.72, 90.01 degrees
Fractional positions:
H1 0.7549 0.2149 0.8646
H2 0.9818 0.9653 0.3186
Ru1 0.6459 0.4567 0.6468
Ru2 0.4737 0.9570 0.3025
H3 0.1561 0.4656 0.6671
H4 0.6172 0.8131 0.5903
H5 0.3665 0.7092 0.0877
Er1 0.1989 0.9713 0.7534
Er2 0.9329 0.4598 0.2209
H6 0.3705 0.2113 0.0963

Calculated values
Magnetization (μB per formula unit): 0.000
E_tot (eV/cell): -52.7

No. 7
Below is a geometry-optimized TlCo2Si structure, with properties calculated at the GGA-PBE level.

Cell lengths 2.8706, 3.4010, 6.2306 Å; angles 90.00, 90.00, 90.00 degrees
Fractional positions:
Si1 0.0000 0.0000 0.3969
Tl1 0.5000 0.5000 0.7738
Co1 0.0000 0.0000 0.0375
Co2 0.5000 0.5000 0.2918

Calculated values
Magnetization (μB per formula unit): 1.831
Energy above the most stable polymorph in this dataset (meV per atom): 253
Formation energy from raw total energies (eV per formula unit): 1.143

No. 8
Below is a geometry-optimized LuCd2Ag structure, with properties calculated at the GGA-PBE level.

Cell lengths 4.9451, 4.9451, 4.9451 Å; angles 60.00, 60.00, 60.00 degrees
Fractional positions:
Ag1 0.5000 0.5000 0.5000
Lu1 0.0000 0.0000 0.0000
Cd1 0.2500 0.2500 0.2500
Cd2 0.7500 0.7500 0.7500

Calculated values
Magnetization (μB per formula unit): 0.000
ΔH_f (0 K) (eV per atom): -0.19

No. 9
Below is a geometry-optimized LaTb2Hg structure, with properties calculated at the GGA-PBE level.

Cell lengths 3.6990, 3.6990, 8.8618 Å; angles 90.00, 90.00, 90.00 degrees
Fractional positions:
Tb1 0.0000 0.0000 0.7866
Hg1 0.5000 0.5000 0.0000
Tb2 0.0000 0.0000 0.2134
La1 0.5000 0.5000 0.5000

Calculated values
Magnetization (μB per formula unit): 0.000
Energy above the most stable polymorph in this dataset (meV per atom): 0
ΔH_f (0 K) (eV per atom): -0.23

No. 10
Below is a geometry-optimized KRe2Pb structure, with properties calculated at the GGA-PBE level.

Cell lengths 3.2525, 4.6460, 5.4491 Å; angles 90.00, 90.00, 90.00 degrees
Fractional positions:
K1 0.5000 0.0000 0.5000
Re1 0.5000 0.5000 0.0000
Re2 0.0000 0.0000 0.0000
Pb1 0.0000 0.5000 0.5000

Calculated values
Magnetization (μB per formula unit): 0.000
ΔH_f (0 K) (eV per atom): 1.64

No. 11
Below is a geometry-optimized PrBiRh4 structure, with properties calculated at the GGA-PBE level.

Cell lengths 5.4090, 5.4090, 5.4090 Å; angles 60.00, 60.00, 60.00 degrees
Fractional positions:
Bi1 0.0000 0.0000 0.0000
Rh1 0.6258 0.1225 0.6258
Rh2 0.6258 0.6258 0.6258
Rh3 0.1225 0.6258 0.6258
Pr1 0.2500 0.2500 0.2500
Rh4 0.6258 0.6258 0.1225

Calculated values
Magnetization (μB per formula unit): 0.000
ΔH_f (0 K) (eV per atom): -0.34

No. 12
Below is a geometry-optimized CuBrCl2 structure, with properties calculated at the GGA-PBE level.

Cell lengths 3.0259, 3.0259, 11.0578 Å; angles 90.00, 90.00, 90.00 degrees
Fractional positions:
Br1 0.5000 0.5000 0.7500
Cl1 0.0000 0.0000 0.1105
Cu1 0.5000 0.5000 0.2500
Cl2 0.0000 0.0000 0.3895

Calculated values
Magnetization (μB per formula unit): 0.825
Energy above the most stable polymorph in this dataset (meV per atom): 331
Formation energy from raw total energies (eV per formula unit): 0.317

No. 13
Below is a geometry-optimized CsZn2Ni structure, with properties calculated at the GGA-PBE level.

Cell lengths 5.3016, 5.3016, 5.3016 Å; angles 60.00, 60.00, 60.00 degrees
Fractional positions:
Ni1 0.0000 0.0000 0.0000
Zn1 0.2500 0.2500 0.2500
Zn2 0.7500 0.7500 0.7500
Cs1 0.5000 0.5000 0.5000

Calculated values
Magnetization (μB per formula unit): 0.581
ΔH_f (0 K) (eV per atom): 0.78

No. 14
Below is a geometry-optimized YSbAu4 structure, with properties calculated at the GGA-PBE level.

Cell lengths 5.6567, 5.6567, 5.6567 Å; angles 60.00, 60.00, 60.00 degrees
Fractional positions:
Au1 0.6251 0.6251 0.6251
Sb1 0.2500 0.2500 0.2500
Au2 0.6251 0.6251 0.1246
Au3 0.1246 0.6251 0.6251
Au4 0.6251 0.1246 0.6251
Y1 0.0000 0.0000 0.0000

Calculated values
Magnetization (μB per formula unit): 0.000
Formation energy from raw total energies (eV per formula unit): -2.413

No. 15
Below is a geometry-optimized TbHoAlZn structure, with properties calculated at the GGA-PBE level.

Cell lengths 5.0803, 5.0803, 5.0803 Å; angles 60.00, 60.00, 60.00 degrees
Fractional positions:
Tb1 0.7500 0.7500 0.7500
Al1 0.5000 0.5000 0.5000
Zn1 0.0000 0.0000 0.0000
Ho1 0.2500 0.2500 0.2500

Calculated values
Magnetization (μB per formula unit): 0.000
Energy above the most stable polymorph in this dataset (meV per atom): 6
ΔH_f (0 K) (eV per atom): -0.37

No. 16
Below is a geometry-optimized RhS3I structure, with properties calculated at the GGA-PBE level.

Cell lengths 4.6877, 4.6877, 4.6877 Å; angles 90.00, 90.00, 90.00 degrees
Fractional positions:
S1 0.0000 0.0000 0.5000
S2 0.5000 0.0000 0.0000
I1 0.5000 0.5000 0.5000
S3 0.0000 0.5000 0.0000
Rh1 0.0000 0.0000 0.0000

Calculated values
Magnetization (μB per formula unit): 0.000
Energy above the most stable polymorph in this dataset (meV per atom): 0
Formation energy from raw total energies (eV per formula unit): 2.336

No. 17
Below is a geometry-optimized PrSm4Te5 structure, with properties calculated at the GGA-PBE level.

Cell lengths 4.4504, 4.4504, 16.1778 Å; angles 97.91, 97.91, 90.00 degrees
Fractional positions:
Sm1 0.7950 0.7950 0.5899
Te1 0.1029 0.1029 0.2059
Sm2 0.2050 0.2050 0.4101
Te2 0.3033 0.3033 0.6066
Te3 0.6967 0.6967 0.3934
Sm3 0.5969 0.5969 0.1938
Sm4 0.4031 0.4031 0.8062
Te4 0.5000 0.5000 0.0000
Te5 0.8971 0.8971 0.7941
Pr1 0.0000 0.0000 0.0000

Calculated values
Magnetization (μB per formula unit): 0.000
Energy above the most stable polymorph in this dataset (meV per atom): 3
Formation energy from raw total energies (eV per formula unit): -13.931

No. 18
Below is a geometry-optimized La2Hg structure, with properties calculated at the GGA-PBE level.

Cell lengths 7.1534, 7.1534, 8.2870 Å; angles 90.00, 90.00, 60.00 degrees
Fractional positions:
La1 0.8187 0.8187 0.7500
La2 0.6374 0.1813 0.2500
La3 0.8187 0.3626 0.7500
La4 0.1813 0.1813 0.2500
Hg1 0.6667 0.6667 0.4235
La5 0.3626 0.8187 0.7500
La6 0.1813 0.6374 0.2500
La7 0.0000 0.0000 0.5000
Hg2 0.6667 0.6667 0.0765
Hg3 0.3333 0.3333 0.5765
Hg4 0.3333 0.3333 0.9235
La8 0.0000 0.0000 0.0000

Calculated values
Magnetization (μB per formula unit): 0.000
ΔH_f (0 K) (eV per atom): 0.01

No. 19
Below is a geometry-optimized Pr3Nd7Sm2 structure, with properties calculated at the GGA-PBE level.

Cell lengths 3.6607, 6.0248, 19.4067 Å; angles 93.05, 90.00, 90.00 degrees
Fractional positions:
Nd1 0.5000 0.7432 0.4639
Sm1 0.5000 0.7090 0.2952
Nd2 0.5000 0.2568 0.5361
Nd3 0.0000 0.0000 0.0000
Nd4 0.0000 0.6849 0.1449
Nd5 0.0000 0.3151 0.8551
Pr1 0.0000 0.7819 0.6334
Nd6 0.5000 0.8131 0.8215
Pr2 0.5000 0.5000 0.0000
Sm2 0.5000 0.2910 0.7048
Pr3 0.0000 0.2181 0.3666
Nd7 0.5000 0.1869 0.1785

Calculated values
Magnetization (μB per formula unit): 0.000
Energy above the most stable polymorph in this dataset (meV per atom): 11
ΔH_f (0 K) (eV per atom): 0.08

No. 20
Below is a geometry-optimized RbSrCd2Br structure, with properties calculated at the GGA-PBE level.

Cell lengths 6.6174, 5.8984, 6.6174 Å; angles 90.00, 90.00, 90.00 degrees
Fractional positions:
Cd1 0.5000 0.0000 0.0000
Rb1 0.5000 0.5000 0.5000
Cd2 0.0000 0.0000 0.5000
Br1 0.0000 0.5000 0.0000
Sr1 0.0000 0.0000 0.0000

Calculated values
Magnetization (μB per formula unit): 0.000
Formation energy from raw total energies (eV per formula unit): -2.072

No. 21
Below is a geometry-optimized LaY2Te4 structure, with properties calculated at the GGA-PBE level.

Cell lengths 4.3639, 7.5098, 15.0019 Å; angles 90.00, 90.00, 106.89 degrees
Fractional positions:
Te1 0.7739 0.5477 0.3792
Y1 0.8685 0.7369 0.5656
Y2 0.8685 0.7369 0.9344
Te2 0.0439 0.0878 0.2500
Te3 0.5000 0.0000 0.5000
Y3 0.1315 0.2631 0.0656
Te4 0.7739 0.5477 0.1208
La1 0.3780 0.7561 0.2500
Te5 0.2261 0.4523 0.8792
Te6 0.2261 0.4523 0.6208
Te7 0.5000 0.0000 0.0000
La2 0.6220 0.2439 0.7500
Te8 0.9561 0.9122 0.7500
Y4 0.1315 0.2631 0.4344

Calculated values
Magnetization (μB per formula unit): 0.000
Formation energy from raw total energies (eV per formula unit): -10.275

No. 22
Below is a geometry-optimized CaReAg2 structure, with properties calculated at the GGA-PBE level.

Cell lengths 2.8248, 2.8248, 9.3002 Å; angles 90.00, 90.00, 90.01 degrees
Fractional positions:
Ag1 0.0000 0.0000 0.9806
Ag2 0.0000 0.0000 0.5194
Ca1 0.5000 0.5000 0.2500
Re1 0.5000 0.5000 0.7500

Calculated values
Magnetization (μB per formula unit): 0.000
Energy above the most stable polymorph in this dataset (meV per atom): 122
ΔH_f (0 K) (eV per atom): 0.59